# 1
Below is a relaxed structure of Nd6C3Se2, with properties calculated at the GGA-PBE level.

The structure in extended XYZ format:
```
11
Lattice="3.342 -5.796 0.000 3.342 5.796 0.000 -2.258 0.000 6.955" Properties=species:S:1:pos:R:3 pbc="T T T"
Nd 1.091 1.967 1.417
Nd -0.071 0.000 5.578
Nd 1.091 -1.967 1.417
Nd 3.335 1.967 5.538
Nd 4.497 0.000 1.377
Nd 3.335 -1.967 5.538
C 0.000 0.000 0.000
C 3.342 1.997 0.000
C 3.342 -1.997 0.000
Se 2.213 3.883 3.478
Se 2.213 -3.883 3.478
```

Computed properties:
crystal system = monoclinic
uncorrected formation energy = -0.77 eV per atom
size of the total moment = 0.92 μB per formula unit



# 2
Below is a relaxed structure of Nd4CSe3, with properties calculated at the GGA-PBE level.

The structure in extended XYZ format:
```
16
Lattice="8.416 0.000 0.000 0.000 11.731 0.000 0.000 0.000 4.064" Properties=species:S:1:pos:R:3 pbc="T T T"
Nd 0.000 2.650 0.000
Nd 0.000 9.081 0.000
Nd 1.810 0.000 2.032
Nd 2.398 5.866 2.032
Nd 4.208 3.216 0.000
Nd 4.208 8.515 0.000
Nd 6.018 5.866 2.032
Nd 6.606 0.000 2.032
C 0.000 0.000 0.000
C 4.208 5.866 0.000
Se 0.000 5.866 0.000
Se 2.104 2.933 2.032
Se 2.104 8.798 2.032
Se 4.208 0.000 0.000
Se 6.312 2.933 2.032
Se 6.312 8.798 2.032
```

Computed properties:
crystal system = orthorhombic
uncorrected formation energy = -1.45 eV per atom
excess energy over the best structure of this formula in the dataset = 0 meV/atom
size of the total moment = 0.00 μB per formula unit



# 3
Below is a relaxed structure of Nd2CSe, with properties calculated at the GGA-PBE level.

The structure in extended XYZ format:
```
12
Lattice="3.935 0.000 0.000 -1.967 3.408 0.000 0.000 0.000 20.572" Properties=species:S:1:pos:R:3 pbc="T T T"
Nd 0.000 0.000 4.852
Nd 0.000 0.000 15.721
Nd 0.000 2.272 8.863
Nd 0.000 2.272 18.566
Nd 1.967 1.136 2.006
Nd 1.967 1.136 11.709
C 0.000 0.000 10.286
C 0.000 2.272 3.429
C 1.967 1.136 17.143
Se 0.000 0.000 0.000
Se 0.000 2.272 13.715
Se 1.967 1.136 6.857
```

Computed properties:
crystal system = trigonal
uncorrected formation energy = -1.00 eV per atom
size of the total moment = 0.00 μB per formula unit